Entry 1:
# Na2SmGaTe4

An optimized crystal structure of Na2SmGaTe4 (PBE-GGA, Alexandria via LeMat-Bulk).

Lattice parameters (Å, degrees): 8.9125 8.9125 8.4810 118.26 118.26 91.35
Atoms (fractional coordinates):
Na: 0.0000 0.0000 0.0000
Na: 0.0000 0.0000 0.5000
Na: 0.0000 0.5000 0.0000
Na: 0.5000 0.0000 0.5000
Sm: 0.0000 0.5000 0.5000
Sm: 0.5000 0.0000 0.0000
Ga: 0.5000 0.5000 0.0000
Ga: 0.5000 0.5000 0.5000
Te: 0.2523 0.7468 0.9984
Te: 0.2532 0.7477 0.5016
Te: 0.2851 0.2888 0.5312
Te: 0.2888 0.2851 0.0312
Te: 0.7112 0.7149 0.9688
Te: 0.7149 0.7112 0.4688
Te: 0.7468 0.2523 0.4984
Te: 0.7477 0.2532 0.0016

## Properties
- raw formation energy (eV per atom) = -0.8318
- space group = C2/c

***

Entry 2:
# Li2AcTlAg

An optimized crystal structure of Li2AcTlAg (PBE-GGA, Alexandria via LeMat-Bulk).

Lattice parameters (Å, degrees): 7.1193 7.1193 7.1193 143.92 143.80 52.04
Atoms (fractional coordinates):
Li: 0.0000 0.0000 0.0000
Li: 0.8528 0.3528 0.5000
Ac: 0.2342 0.7342 0.5000
Tl: 0.4802 0.4802 0.0000
Ag: 0.6405 0.1405 0.5000

## Properties
- formation enthalpy at 0 K (meV per atom) = -189
- space group = Imm2

***

What did the second record say?
# Li2AcTlAg

An optimized crystal structure of Li2AcTlAg (PBE-GGA, Alexandria via LeMat-Bulk).

Lattice parameters (Å, degrees): 7.1193 7.1193 7.1193 143.92 143.80 52.04
Atoms (fractional coordinates):
Li: 0.0000 0.0000 0.0000
Li: 0.8528 0.3528 0.5000
Ac: 0.2342 0.7342 0.5000
Tl: 0.4802 0.4802 0.0000
Ag: 0.6405 0.1405 0.5000

## Properties
- formation enthalpy at 0 K (meV per atom) = -189
- space group = Imm2

***

Repeat the first record exactly.
# Na2SmGaTe4

An optimized crystal structure of Na2SmGaTe4 (PBE-GGA, Alexandria via LeMat-Bulk).

Lattice parameters (Å, degrees): 8.9125 8.9125 8.4810 118.26 118.26 91.35
Atoms (fractional coordinates):
Na: 0.0000 0.0000 0.0000
Na: 0.0000 0.0000 0.5000
Na: 0.0000 0.5000 0.0000
Na: 0.5000 0.0000 0.5000
Sm: 0.0000 0.5000 0.5000
Sm: 0.5000 0.0000 0.0000
Ga: 0.5000 0.5000 0.0000
Ga: 0.5000 0.5000 0.5000
Te: 0.2523 0.7468 0.9984
Te: 0.2532 0.7477 0.5016
Te: 0.2851 0.2888 0.5312
Te: 0.2888 0.2851 0.0312
Te: 0.7112 0.7149 0.9688
Te: 0.7149 0.7112 0.4688
Te: 0.7468 0.2523 0.4984
Te: 0.7477 0.2532 0.0016

## Properties
- raw formation energy (eV per atom) = -0.8318
- space group = C2/c